--- P ---
AlH2Pb: relaxed, PBE.

Cell lengths 5.518, 5.518, 7.812 Å; angles 90.00, 90.00, 90.00 degrees
Space group I-42d (No. 122)
Symmetry-distinct sites (fractional):
Al: 0.000 0.000 0.000 x4
H: 0.064 0.750 0.125 x8
Pb: 0.000 0.000 0.500 x4

Computed properties:
magnetization = 0.0 μB/f.u.
Fermi-level density of states = 0.90 states/eV/f.u.


--- Q ---
AlH2Pb: relaxed, PBE.

Cell lengths 6.088, 6.088, 6.088 Å; angles 90.00, 90.00, 90.00 degrees
Space group Fm-3m (No. 225)
Symmetry-distinct sites (fractional):
Al: 0.000 0.000 0.000 x4
H: 0.250 0.250 0.250 x8
Pb: 0.000 0.000 0.500 x4

Computed properties:
magnetization = 0.0 μB/f.u.
Fermi-level density of states = 1.74 states/eV/f.u.


P wins, 399 meV per atom ahead of the next structure.


--- P ---
AlHPb: relaxed, PBE.

Cell lengths 11.755, 4.633, 4.831 Å; angles 90.00, 112.94, 90.00 degrees
Space group C2/m (No. 12)
Symmetry-distinct sites (fractional):
Al: 0.192 0.000 0.485 x4
H: 0.045 0.000 0.281 x4
Pb: 0.133 0.500 0.855 x4

Computed properties:
magnetization = 0.0 μB/f.u.
Fermi-level density of states = 0.23 states/eV/f.u.


--- Q ---
AlHPb: relaxed, PBE.

Cell lengths 7.221, 4.829, 6.900 Å; angles 90.00, 90.00, 90.00 degrees
Space group Pnma (No. 62)
Symmetry-distinct sites (fractional):
Al: 0.089 0.250 0.029 x4
H: 0.088 0.250 0.275 x4
Pb: 0.169 0.250 0.566 x4

Computed properties:
magnetization = 0.0 μB/f.u.
Fermi-level density of states = 0.32 states/eV/f.u.


--- R ---
AlHPb: relaxed, PBE.

Cell lengths 7.235, 5.033, 7.067 Å; angles 90.00, 90.00, 90.00 degrees
Space group Pnma (No. 62)
Symmetry-distinct sites (fractional):
Al: 0.000 0.000 0.000 x4
H: 0.079 0.250 0.453 x4
Pb: 0.136 0.750 0.372 x4

Computed properties:
magnetization = 0.0 μB/f.u.
Fermi-level density of states = 1.07 states/eV/f.u.


P wins, 47 meV per atom ahead of the next structure.